# 1
{"formula": "KLaFe3", "functional": "PBE-GGA", "state": "optimized geometry", "dft_energy_ev_per_atom": -4.719, "dos_ef_per_ev_atom": 2.8000, "ef_kcal_per_mol_atoms": 36.06, "lattice_angstrom": [[5.2312, 0.0000, 0.0000], [0.0000, 5.2312, 0.0000], [0.0000, 0.0000, 5.2312]], "species": ["Fe", "Fe", "Fe", "La", "K"], "frac_coords": [[0.0000, 0.5000, 0.0000], [0.5000, 0.0000, 0.0000], [0.0000, 0.0000, 0.5000], [0.0000, 0.0000, 0.0000], [0.5000, 0.5000, 0.5000]]}

# 2
{"formula": "MgFeSnIr", "functional": "PBE-GGA", "state": "optimized geometry", "dft_energy_ev_per_atom": -5.805, "dos_ef_per_ev_atom": 1.2750, "ef_kcal_per_mol_atoms": -1.72, "lattice_angstrom": [[-2.0841, 2.5067, -2.9994], [-0.1412, -1.2762, -4.2397], [-3.8183, -1.3802, -1.7716]], "species": ["Mg", "Fe", "Sn", "Ir"], "frac_coords": [[0.7500, 0.7500, 0.7500], [0.5000, 0.5000, 0.5000], [0.2500, 0.2500, 0.2500], [0.0000, 0.0000, 0.0000]]}

# 3
{"formula": "NaAc5O8", "functional": "PBE-GGA", "state": "optimized geometry", "dft_energy_ev_per_atom": -7.391, "raw_formation_energy_ev_per_atom": -3.00, "dos_ef_per_ev_atom": 0.0000, "lattice_angstrom": [[6.7854, 0.0512, -0.0881], [-2.2477, 6.4025, 0.0881], [-2.2900, -3.2120, 5.5219]], "species": ["O", "Ac", "Ac", "O", "O", "Ac", "O", "Ac", "O", "O", "O", "Na", "O", "Ac"], "frac_coords": [[0.7305, 0.2326, 0.3545], [0.7330, 0.6050, 0.6344], [0.3656, 0.0985, 0.9706], [0.6455, 0.3760, 0.8781], [0.6248, 0.8861, 0.8705], [0.5000, 0.0000, 0.5000], [0.1219, 0.7674, 0.4979], [0.0294, 0.3950, 0.1279], [0.1295, 0.7543, 0.0156], [0.9844, 0.1139, 0.7388], [0.5021, 0.6240, 0.2695], [0.2500, 0.5000, 0.7500], [0.2612, 0.2457, 0.3752], [0.8721, 0.9015, 0.2670]]}